1.
# AcCdGa4

A relaxed AcCdGa4 crystal (GGA-PBE, Alexandria via LeMat-Bulk).

Summary:
SG = No. 216
DOS at the Fermi energy = 0.6290 states/eV/atom
formation energy = -0.20 eV per atom
crystal system = cubic
volume = 22.95 A^3/atom
magnetization = 0.00 μB per atom

Geometry as POSCAR:
```
AcCdGa4
1.0
-0.961 -5.554 -1.353
3.238 -2.600 -4.044
3.840 -4.063 1.532
Cd Ga Ac
1 4 1
direct
0.250 0.250 0.250
0.625 0.625 0.625
0.625 0.126 0.625
0.126 0.625 0.625
0.625 0.625 0.126
0.000 0.000 0.000
```



2.
# AcCd5Ga2

A relaxed AcCd5Ga2 crystal (GGA-PBE, Alexandria via LeMat-Bulk).

Summary:
SG = No. 71
DOS at the Fermi energy = 0.3138 states/eV/atom
formation energy = -0.22 eV per atom
crystal system = orthorhombic
volume = 23.79 A^3/atom
magnetization = 0.00 μB per atom

Geometry as POSCAR:
```
AcCd5Ga2
1.0
4.231 0.000 1.401
1.525 6.382 2.483
0.025 -0.129 7.015
Ga Cd Ac
2 5 1
direct
0.261 0.239 0.239
0.739 0.761 0.761
0.645 0.168 0.542
0.355 0.458 0.832
0.645 0.542 0.168
0.355 0.832 0.458
0.000 0.500 0.500
0.000 0.000 0.000
```



3.
# Ac5CdGa2

A relaxed Ac5CdGa2 crystal (GGA-PBE, Alexandria via LeMat-Bulk).

Summary:
SG = No. 140
DOS at the Fermi energy = 0.8607 states/eV/atom
formation energy = -0.33 eV per atom
crystal system = tetragonal
volume = 35.42 A^3/atom
magnetization = 0.00 μB per atom

Geometry as POSCAR:
```
Ac5CdGa2
1.0
7.452 0.000 -3.518
-1.661 7.264 -3.518
0.245 0.307 10.170
Ac Ga Cd
10 4 2
direct
0.471 0.317 0.288
0.500 0.500 0.000
0.817 0.971 0.288
0.317 0.817 0.288
0.529 0.683 0.712
0.000 0.000 0.000
0.683 0.183 0.712
0.183 0.029 0.712
0.029 0.529 0.712
0.971 0.471 0.288
0.387 0.887 0.000
0.887 0.613 0.000
0.613 0.113 0.000
0.113 0.387 0.000
0.750 0.750 0.500
0.250 0.250 0.500
```



4.
# Ac4Cd2Ga

A relaxed Ac4Cd2Ga crystal (GGA-PBE, Alexandria via LeMat-Bulk).

Summary:
SG = No. 166
DOS at the Fermi energy = 1.3043 states/eV/atom
formation energy = -0.20 eV per atom
crystal system = trigonal
volume = 36.17 A^3/atom
magnetization = 0.00 μB per atom

Geometry as POSCAR:
```
Ac4Cd2Ga
1.0
0.400 -2.991 4.798
4.680 -3.009 1.081
5.359 5.204 6.144
Ga Ac Cd
1 4 2
direct
0.000 0.000 0.000
0.875 0.875 0.374
0.624 0.624 0.129
0.125 0.125 0.626
0.376 0.376 0.871
0.750 0.750 0.751
0.250 0.250 0.249
```